Record 1
# TaTi2HgRu

A relaxed TaTi2HgRu crystal (PBE, the Alexandria database).

Cell: 4.785 4.785 4.904 Å, 90.00 90.00 90.00°
Space group P4/mmm (No. 123)
Inequivalent atoms, fractional coordinates:
Ta 0.000 0.000 0.000
Ti 0.000 0.500 0.500
Hg 0.500 0.500 0.500
Ru 0.500 0.500 0.000

Output
As for the calculated volume: 22.454 Å³ per atom. The magnetic moment is 0.0 μB/cell. For the formation energy, the calculation gives 1.760 eV/atom.

Record 2
# Tb2HgRu

A relaxed Tb2HgRu crystal (PBE, the Alexandria database).

Cell: 7.140 7.140 7.140 Å, 90.00 90.00 90.00°
Space group Fm-3m (No. 225)
Inequivalent atoms, fractional coordinates:
Tb 0.250 0.250 0.250
Hg 0.000 0.000 0.000
Ru 0.000 0.000 0.500

Output
As for the calculated volume: 22.752 Å³ per atom. The energy above the most stable polymorph in this dataset comes out at 0.116 eV per atom. The magnetic moment is 0.0 μB/cell. For the formation energy, the calculation gives -0.348 eV/atom.

Record 3
# Tb5Hg2Ru

A relaxed Tb5Hg2Ru crystal (PBE, the Alexandria database).

Cell: 7.410 11.963 4.839 Å, 90.00 90.00 90.00°
Space group Pbam (No. 55)
Inequivalent atoms, fractional coordinates:
Tb 0.000 0.000 0.000
Tb 0.144 0.296 0.000
Tb 0.178 0.580 0.500
Hg 0.077 0.837 0.500
Ru 0.000 0.500 0.000

Output
As for the calculated volume: 26.807 Å³ per atom. The energy above the most stable polymorph in this dataset comes out at 0.000 eV per atom. The magnetic moment is 0.0 μB/cell. For the formation energy, the calculation gives -0.388 eV/atom.

Record 4
# Tb2HgRu

A relaxed Tb2HgRu crystal (PBE, the Alexandria database).

Cell: 3.8179 3.8179 24.4651 Å, 90.00 90.00 120.00°
Space group R-3m (No. 166, hexagonal axes)
Inequivalent atoms, fractional coordinates:
Tb 0.0000 0.0000 0.2348
Hg 0.0000 0.0000 0.0000
Ru 0.0000 0.0000 0.5000

Output
As for the calculated volume: 25.736 Å³ per atom. The energy above the most stable polymorph in this dataset comes out at 0.205 eV per atom. The magnetic moment is 0.0 μB/cell. For the formation energy, the calculation gives -0.258 eV/atom.

Record 5
# Tb12HgRu6

A relaxed Tb12HgRu6 crystal (PBE, the Alexandria database).

Cell: 9.856 9.856 9.856 Å, 90.00 90.00 90.00°
Space group Im-3 (No. 204)
Inequivalent atoms, fractional coordinates:
Tb 0.000 0.296 0.196
Hg 0.000 0.000 0.000
Ru 0.000 0.124 0.500

Output
As for the calculated volume: 25.197 Å³ per atom. The magnetic moment is 0.0 μB/cell. For the formation energy, the calculation gives -0.282 eV/atom.

Record 6
# Tb8Hg2Ru

A relaxed Tb8Hg2Ru crystal (PBE, the Alexandria database).

Cell: 17.656 5.295 6.905 Å, 90.00 108.70 90.00°
Space group C2/m (No. 12)
Inequivalent atoms, fractional coordinates:
Tb 0.023 0.000 0.288
Tb 0.089 0.500 0.926
Tb 0.153 0.500 0.457
Tb 0.197 0.000 0.798
Hg 0.184 0.000 0.216
Ru 0.000 0.500 0.500

Output
As for the calculated volume: 27.797 Å³ per atom. The energy above the most stable polymorph in this dataset comes out at 0.000 eV per atom. The magnetic moment is 0.0 μB/cell. For the formation energy, the calculation gives -0.262 eV/atom.